Record 1
DFT (PBE-GGA) results for an optimized crystal structure of Tm2Ga4Fe3.

Properties
M_tot ... 18.50 μB per cell
VASP energy ... -199.42 eV per cell

The structure in CIF format:
```
data_Tm2Ga4Fe3
_cell_length_a 5.1577
_cell_length_b 9.0173
_cell_length_c 12.7451
_cell_angle_alpha 90.00
_cell_angle_beta 90.00
_cell_angle_gamma 90.00
_symmetry_space_group_name_H-M 'F m m m'
_symmetry_Int_Tables_number 69
_symmetry_space_group_name_Hall '-F 2 2'
loop_
_atom_site_label
_atom_site_fract_x
_atom_site_fract_y
_atom_site_fract_z
_atom_site_occupancy
Tm1 0.0000 0.0000 0.1249 1
Ga1 0.0000 0.1705 0.3383 1
Fe1 0.0000 0.0000 0.5000 1
Fe2 0.2500 0.2500 0.0000 1
```

=====

Record 2
DFT (PBE-GGA) results for an optimized crystal structure of TmGa6Fe.

Properties
M_tot ... 0.00 μB per cell
VASP energy ... -111.84 eV per cell

The structure in CIF format:
```
data_TmGa6Fe
_cell_length_a 10.4617
_cell_length_b 10.4617
_cell_length_c 10.4617
_cell_angle_alpha 90.00
_cell_angle_beta 90.00
_cell_angle_gamma 90.00
_symmetry_space_group_name_H-M 'F m -3 m'
_symmetry_Int_Tables_number 225
_symmetry_space_group_name_Hall '-F 4 2 3'
loop_
_atom_site_label
_atom_site_fract_x
_atom_site_fract_y
_atom_site_fract_z
_atom_site_occupancy
Tm1 0.0000 0.0000 0.0000 1
Ga1 0.0000 0.0000 0.2819 1
Fe1 0.0000 0.0000 0.5000 1
```

=====

Record 3
DFT (PBE-GGA) results for an optimized crystal structure of Tm2Ga4Fe.

Properties
M_tot ... 2.43 μB per cell
VASP energy ... -62.62 eV per cell

The structure in CIF format:
```
data_Tm2Ga4Fe
_cell_length_a 4.4649
_cell_length_b 4.4649
_cell_length_c 14.5764
_cell_angle_alpha 90.00
_cell_angle_beta 90.00
_cell_angle_gamma 90.00
_symmetry_space_group_name_H-M 'I 4/m m m'
_symmetry_Int_Tables_number 139
_symmetry_space_group_name_Hall '-I 4 2'
loop_
_atom_site_label
_atom_site_fract_x
_atom_site_fract_y
_atom_site_fract_z
_atom_site_occupancy
Tm1 0.0000 0.0000 0.1439 1
Ga1 0.0000 0.0000 0.3374 1
Ga2 0.0000 0.5000 0.0000 1
Fe1 0.0000 0.0000 0.5000 1
```

=====

Record 4
DFT (PBE-GGA) results for an optimized crystal structure of TmGa3Fe.

Properties
Energy relative to the lowest polymorph listed for this composition ... 0.180 eV/f.u.
M_tot ... 4.00 μB per cell
VASP energy ... -47.56 eV per cell

The structure in CIF format:
```
data_TmGa3Fe
_cell_length_a 6.1221
_cell_length_b 6.1221
_cell_length_c 5.3821
_cell_angle_alpha 90.00
_cell_angle_beta 90.00
_cell_angle_gamma 120.00
_symmetry_space_group_name_H-M 'P 63/m m c'
_symmetry_Int_Tables_number 194
_symmetry_space_group_name_Hall '-P 6c 2c'
loop_
_atom_site_label
_atom_site_fract_x
_atom_site_fract_y
_atom_site_fract_z
_atom_site_occupancy
Tm1 0.3333 0.6667 0.2500 1
Ga1 0.1907 0.3814 0.7500 1
Fe1 0.0000 0.0000 0.0000 1
```